## A
Below is a crystal of AlCd3Sb relaxed with PBEsol, with properties calculated at the SCAN level.

The space group is Pm-3m (No. 221) and the conventional cell measures 5.498, 5.498 and 5.498 Å, with angles of 90.00, 90.00 and 90.00 degrees. The inequivalent atoms are Al at (0.000, 0.000, 0.000), Cd at (0.000, 0.500, 0.500) and Sb at (0.500, 0.500, 0.500).

As for the mass density: 4.86 Mg/m³. The value obtained for the density of states at the Fermi level is 2.44 states/eV/f.u.

## B
Below is a crystal of AlCd3Sb relaxed with PBEsol, with properties calculated at the SCAN level.

The space group is Pm-3m (No. 221) and the conventional cell measures 5.102, 5.102 and 5.102 Å, with angles of 90.00, 90.00 and 90.00 degrees. The inequivalent atoms are Al at (0.000, 0.000, 0.000), Cd at (0.000, 0.000, 0.500) and Sb at (0.500, 0.500, 0.500).

As for the mass density: 6.08 Mg/m³. The value obtained for the density of states at the Fermi level is 3.04 states/eV/f.u.

B is favored, and the nearest alternative lies 0.206 eV/atom above it.

## A
Below is a crystal of Sc2AlCd relaxed with PBEsol, with properties calculated at the SCAN level.

The space group is R-3m (No. 166, hexagonal axes) and the conventional cell measures 3.2342, 3.2342 and 27.9922 Å, with angles of 90.00, 90.00 and 120.00 degrees. The inequivalent atoms are Sc at (0.0000, 0.0000, 0.2460), Al at (0.0000, 0.0000, 0.5000) and Cd at (0.0000, 0.0000, 0.0000).

As for the mass density: 4.50 Mg/m³. The value obtained for the density of states at the Fermi level is 2.68 states/eV/f.u.

## B
Below is a crystal of Sc2AlCd relaxed with PBEsol, with properties calculated at the SCAN level.

The space group is Fm-3m (No. 225) and the conventional cell measures 6.843, 6.843 and 6.843 Å, with angles of 90.00, 90.00 and 90.00 degrees. The inequivalent atoms are Sc at (0.250, 0.250, 0.250), Al at (0.000, 0.000, 0.000) and Cd at (0.000, 0.000, 0.500).

As for the mass density: 4.75 Mg/m³. The value obtained for the density of states at the Fermi level is 2.76 states/eV/f.u.

B is favored, and the nearest alternative lies 0.195 eV/atom above it.

## A
Below is a crystal of Sc2AlCd relaxed with PBEsol, with properties calculated at the SCAN level.

The space group is P4/mmm (No. 123) and the conventional cell measures 3.159, 3.159 and 7.947 Å, with angles of 90.00, 90.00 and 90.00 degrees. The inequivalent atoms are Sc at (0.000, 0.000, 0.238), Al at (0.500, 0.500, 0.000) and Cd at (0.500, 0.500, 0.500).

As for the mass density: 4.80 Mg/m³. The value obtained for the density of states at the Fermi level is 2.24 states/eV/f.u.

## B
Below is a crystal of Sc2AlCd relaxed with PBEsol, with properties calculated at the SCAN level.

The space group is Pmmm (No. 47) and the conventional cell measures 3.117, 4.073 and 6.273 Å, with angles of 90.00, 90.00 and 90.00 degrees. The inequivalent atoms are Sc at (0.000, 0.000, 0.240), Al at (0.500, 0.500, 0.000) and Cd at (0.500, 0.500, 0.500).

As for the mass density: 4.78 Mg/m³. The value obtained for the density of states at the Fermi level is 2.76 states/eV/f.u.

A is favored, and the nearest alternative lies 0.013 eV/atom above it.

## A
Below is a crystal of ZrAlCd2 relaxed with PBEsol, with properties calculated at the SCAN level.

The space group is P2/m (No. 10) and the conventional cell measures 5.261, 2.924 and 5.510 Å, with angles of 90.00, 110.94 and 90.00 degrees. The inequivalent atoms are Zr at (0.000, 0.000, 0.000), Al at (0.500, 0.500, 0.000), Cd at (0.000, 0.500, 0.500) and Cd at (0.500, 0.000, 0.500).

As for the mass density: 7.20 Mg/m³. The value obtained for the density of states at the Fermi level is 1.76 states/eV/f.u.

## B
Below is a crystal of ZrAlCd2 relaxed with PBEsol, with properties calculated at the SCAN level.

The space group is P4mm (No. 99) and the conventional cell measures 3.114, 3.114 and 8.021 Å, with angles of 90.00, 90.00 and 90.00 degrees. The inequivalent atoms are Zr at (0.000, 0.000, 0.000), Al at (0.500, 0.500, 0.231), Cd at (0.000, 0.000, 0.469) and Cd at (0.500, 0.500, 0.725).

As for the mass density: 7.33 Mg/m³. The value obtained for the density of states at the Fermi level is 1.66 states/eV/f.u.

B is favored, and the nearest alternative lies 0.030 eV/atom above it.

## A
Below is a crystal of CeAlCo4 relaxed with PBEsol, with properties calculated at the SCAN level.

The space group is Cmmm (No. 65) and the conventional cell measures 4.929, 8.263 and 4.015 Å, with angles of 90.00, 90.00 and 90.00 degrees. The inequivalent atoms are Ce at (0.000, 0.000, 0.000), Al at (0.000, 0.500, 0.500), Co at (0.000, 0.304, 0.000) and Co at (0.250, 0.250, 0.500).

As for the mass density: 8.18 Mg/m³. The value obtained for the density of states at the Fermi level is 5.70 states/eV/f.u.

## B
Below is a crystal of CeAlCo4 relaxed with PBEsol, with properties calculated at the SCAN level.

The space group is P-6m2 (No. 187) and the conventional cell measures 4.9773, 4.9773 and 3.8248 Å, with angles of 90.00, 90.00 and 120.00 degrees. The inequivalent atoms are Ce at (0.0000, 0.0000, 0.0000), Al at (0.6667, 0.3333, 0.0000), Co at (0.0078, 0.5039, 0.5000) and Co at (0.3333, 0.6667, 0.0000).

As for the mass density: 8.15 Mg/m³. The value obtained for the density of states at the Fermi level is 5.92 states/eV/f.u.

A is favored, and the nearest alternative lies 0.044 eV/atom above it.

## A
Below is a crystal of Al3Cl relaxed with PBEsol, with properties calculated at the SCAN level.

The space group is I4/mmm (No. 139) and the conventional cell measures 4.427, 4.427 and 7.523 Å, with angles of 90.00, 90.00 and 90.00 degrees. The inequivalent atoms are Al at (0.000, 0.000, 0.000), Al at (0.000, 0.500, 0.250) and Cl at (0.000, 0.000, 0.500).

As for the mass density: 2.62 Mg/m³. The value obtained for the density of states at the Fermi level is 1.17 states/eV/f.u.

## B
Below is a crystal of Al3Cl relaxed with PBEsol, with properties calculated at the SCAN level.

The space group is Pm-3m (No. 221) and the conventional cell measures 4.275, 4.275 and 4.275 Å, with angles of 90.00, 90.00 and 90.00 degrees. The inequivalent atoms are Al at (0.000, 0.000, 0.500) and Cl at (0.500, 0.500, 0.500).

As for the mass density: 2.47 Mg/m³. The value obtained for the density of states at the Fermi level is 1.85 states/eV/f.u.

## C
Below is a crystal of Al3Cl relaxed with PBEsol, with properties calculated at the SCAN level.

The space group is Cmcm (No. 63) and the conventional cell measures 7.627, 8.225 and 4.980 Å, with angles of 90.00, 90.00 and 90.00 degrees. The inequivalent atoms are Al at (0.000, 0.091, 0.250), Al at (0.200, 0.196, 0.750) and Cl at (0.000, 0.408, 0.750).

As for the mass density: 2.47 Mg/m³. The value obtained for the density of states at the Fermi level is 0.95 states/eV/f.u.

## D
Below is a crystal of Al3Cl relaxed with PBEsol, with properties calculated at the SCAN level.

The space group is Imm2 (No. 44) and the conventional cell measures 2.890, 11.345 and 4.702 Å, with angles of 90.00, 90.00 and 90.00 degrees. The inequivalent atoms are Al at (0.000, 0.000, 0.000), Al at (0.000, 0.294, 0.357) and Cl at (0.000, 0.500, 0.904).

As for the mass density: 2.51 Mg/m³. The value obtained for the density of states at the Fermi level is 1.23 states/eV/f.u.

C is favored, and the nearest alternative lies 0.074 eV/atom above it.

## A
Below is a crystal of AlCl5 relaxed with PBEsol, with properties calculated at the SCAN level.

The space group is P-62m (No. 189) and the conventional cell measures 8.6252, 8.6252 and 2.8514 Å, with angles of 90.00, 90.00 and 120.00 degrees. The inequivalent atoms are Al at (0.0000, 0.0000, 0.0000), Cl at (0.0000, 0.7906, 0.5000) and Cl at (0.3333, 0.6667, 0.0000).

As for the mass density: 1.85 Mg/m³. The value obtained for the density of states at the Fermi level is 6.75 states/eV/f.u.

## B
Below is a crystal of AlCl5 relaxed with PBEsol, with properties calculated at the SCAN level.

The space group is Cm (No. 8) and the conventional cell measures 13.329, 3.368 and 7.486 Å, with angles of 90.00, 111.69 and 90.00 degrees. The inequivalent atoms are Al at (0.000, 0.000, 0.000), Cl at (0.013, 0.500, 0.223), Cl at (0.045, 0.500, 0.825), Cl at (0.221, 0.000, 0.174), Cl at (0.264, 0.000, 0.460) and Cl at (0.328, 0.500, 0.850).

As for the mass density: 2.17 Mg/m³. The value obtained for the density of states at the Fermi level is 0.00 states/eV/f.u.

B is favored, and the nearest alternative lies 0.422 eV/atom above it.

## A
Below is a crystal of Al2CoCl relaxed with PBEsol, with properties calculated at the SCAN level.

The space group is Pmmm (No. 47) and the conventional cell measures 2.809, 4.575 and 4.735 Å, with angles of 90.00, 90.00 and 90.00 degrees. The inequivalent atoms are Al at (0.000, 0.000, 0.000), Al at (0.500, 0.000, 0.500), Co at (0.000, 0.500, 0.500) and Cl at (0.500, 0.500, 0.000).

As for the mass density: 4.05 Mg/m³. The value obtained for the density of states at the Fermi level is 1.60 states/eV/f.u.

## B
Below is a crystal of Al2CoCl relaxed with PBEsol, with properties calculated at the SCAN level.

The space group is C2/m (No. 12) and the conventional cell measures 12.069, 2.746 and 3.976 Å, with angles of 90.00, 108.50 and 90.00 degrees. The inequivalent atoms are Al at (0.183, 0.000, 0.185), Co at (0.000, 0.500, 0.000) and Cl at (0.000, 0.000, 0.500).

As for the mass density: 3.94 Mg/m³. The value obtained for the density of states at the Fermi level is 1.68 states/eV/f.u.

B is favored, and the nearest alternative lies 0.075 eV/atom above it.